No. 1
Here is a relaxed structure of BaNa2In from Alexandria via LeMat-Bulk. Energies are from PBE-GGA.

Structure (extended XYZ):
```
4
Lattice="2.812 1.624 5.477 -2.812 1.624 5.477 0.000 -3.247 5.477" Properties=species:S:1:pos:R:3 pbc="T T T"
Ba 0.000 0.000 0.000
Na 0.000 0.000 3.580
Na 0.000 0.000 8.039
In 0.000 0.000 12.757
```

Crystal system: trigonal
Energy relative to the elements (eV/atom): -0.112

No. 2
Here is a relaxed structure of BaLi2AgHg4 from Alexandria via LeMat-Bulk. Energies are from PBE-GGA.

Structure (extended XYZ):
```
8
Lattice="2.381 1.375 10.198 -2.381 1.375 10.198 0.000 -2.750 10.198" Properties=species:S:1:pos:R:3 pbc="T T T"
Ba 0.000 0.000 0.000
Li 0.000 0.000 6.833
Li 0.000 0.000 23.760
Ag 0.000 0.000 15.297
Hg 0.000 0.000 3.899
Hg 0.000 0.000 12.341
Hg 0.000 0.000 18.252
Hg 0.000 0.000 26.694
```

Crystal system: trigonal
Energy relative to the elements (eV/atom): -0.315

No. 3
Here is a relaxed structure of Dy3Mo5N12 from Alexandria via LeMat-Bulk. Energies are from PBE-GGA.

Structure (extended XYZ):
```
80
Lattice="-6.383 6.383 6.383 6.383 -6.383 6.383 6.383 6.383 -6.383" Properties=species:S:1:pos:R:3 pbc="T T T"
Dy 3.191 1.596 0.000
Dy 6.383 3.191 -1.596
Dy 1.596 0.000 3.191
Dy 7.979 0.000 3.191
Dy 0.000 3.191 1.596
Dy 3.191 -1.596 6.383
Dy 3.191 7.979 0.000
Dy 6.383 3.191 4.787
Dy -1.596 6.383 3.191
Dy 4.787 6.383 3.191
Dy 0.000 3.191 7.979
Dy 3.191 4.787 6.383
Mo 0.000 0.000 0.000
Mo 3.191 3.191 -3.191
Mo 3.191 -3.191 3.191
Mo 6.383 0.000 0.000
Mo 9.574 1.596 0.000
Mo 6.383 -3.191 4.787
Mo 4.787 6.383 -3.191
Mo 4.787 0.000 3.191
Mo 3.191 4.787 0.000
Mo 6.383 3.191 1.596
Mo -3.191 3.191 3.191
Mo 0.000 6.383 0.000
Mo 0.000 0.000 6.383
Mo 3.191 3.191 3.191
Mo 0.000 3.191 4.787
Mo 3.191 1.596 6.383
Mo 1.596 6.383 3.191
Mo 1.596 0.000 9.574
Mo 0.000 9.574 1.596
Mo -3.191 4.787 6.383
N 1.908 -0.406 0.675
N 7.666 3.867 -3.597
N 8.291 0.406 0.675
N 7.666 -2.516 3.597
N 5.977 -0.675 1.908
N 9.980 -1.284 2.516
N 0.675 1.908 -0.406
N 8.899 2.786 -1.284
N 3.867 3.597 -1.284
N 5.707 1.908 0.406
N -0.406 0.675 1.908
N 3.597 -1.284 3.867
N 5.977 5.707 -1.908
N 3.597 1.284 2.516
N 3.867 -3.597 7.666
N 5.707 -1.908 5.977
N 2.516 3.597 1.284
N 7.058 4.475 0.406
N 3.597 7.666 -2.516
N 5.977 0.675 4.475
N 1.908 5.977 -0.675
N 7.666 2.516 2.786
N 1.284 2.516 3.597
N 1.908 0.406 5.707
N 4.475 5.977 0.675
N 5.099 3.867 2.786
N -1.284 3.867 3.597
N 4.475 0.406 7.058
N 0.406 5.707 1.908
N 2.786 -1.284 8.899
N -0.675 1.908 5.977
N 3.867 2.786 5.099
N 0.675 8.291 0.406
N 2.516 9.980 -1.284
N 2.786 5.099 3.867
N 0.406 0.675 8.291
N 2.786 7.666 2.516
N 6.789 5.707 4.475
N 0.675 4.475 5.977
N 2.516 2.786 7.666
N -2.516 3.597 7.666
N 5.707 4.475 6.789
N -3.597 7.666 3.867
N 0.406 7.058 4.475
N -1.284 8.899 2.786
N -1.908 5.977 5.707
N -1.284 2.516 9.980
N 4.475 6.789 5.707
```

Crystal system: cubic
Energy relative to the elements, uncorrected (eV per atom): -0.697

No. 4
Here is a relaxed structure of Ta3CoS6 from Alexandria via LeMat-Bulk. Energies are from PBE-GGA.

Structure (extended XYZ):
```
20
Lattice="4.891 -6.016 0.000 4.891 6.016 0.000 0.000 0.000 5.878" Properties=species:S:1:pos:R:3 pbc="T T T"
Ta 4.891 4.777 2.939
Ta 3.436 1.400 3.468
Ta 3.436 -1.400 0.529
Ta 6.345 1.400 3.468
Ta 6.345 -1.400 0.529
Ta 4.891 -4.777 0.000
Co 4.891 2.570 1.406
Co 4.891 -2.570 4.345
S 3.053 3.417 2.105
S 1.627 0.358 1.741
S 1.627 -0.358 4.680
S 4.891 2.789 4.862
S 6.728 3.417 2.105
S 4.891 0.408 1.675
S 4.891 -0.408 4.614
S 3.053 -3.417 5.044
S 4.891 -2.789 1.923
S 8.154 0.358 1.741
S 8.154 -0.358 4.680
S 6.728 -3.417 5.044
```

Crystal system: orthorhombic
Energy above the lowest structure with this stoichiometry (meV per atom): 269
Energy relative to the elements, uncorrected (eV per atom): -0.714